(1)
Density functional theory data (GGA-PBE) for an optimized crystal structure of Tl2MoSe.

Output
**Crystal system**: tetragonal
**Energy above the lowest structure with this stoichiometry**: 2.36 eV per formula unit
**Formation energy (no corrections)**: 0.6670 eV/atom
**Total magnetic moment**: 0.71 μB per atom
**Density of states at the Fermi level**: 6.29 states/eV per cell

```
Tl2MoSe
1.0
4.564 0.000 0.000
0.000 4.564 0.000
0.000 0.000 8.847
Tl Mo Se
4 2 2
Direct
0.000 0.000 0.000 Tl
0.000 0.500 0.250 Tl
0.500 0.000 0.750 Tl
0.500 0.500 0.500 Tl
0.000 0.500 0.750 Mo
0.500 0.000 0.250 Mo
0.000 0.000 0.500 Se
0.500 0.500 0.000 Se
```

***

(2)
Density functional theory data (GGA-PBE) for an optimized crystal structure of Zr3ScI.

Output
**Crystal system**: cubic
**Energy above the lowest structure with this stoichiometry**: 2.02 eV per formula unit
**Formation energy (no corrections)**: 1.1105 eV/atom
**Total magnetic moment**: 0.28 μB per atom
**Density of states at the Fermi level**: 8.58 states/eV per cell

```
Zr3ScI
1.0
5.195 0.000 0.000
0.000 5.195 0.000
0.000 0.000 5.195
Zr Sc I
3 1 1
Direct
0.000 0.000 0.500 Zr
0.000 0.500 0.000 Zr
0.500 0.000 0.000 Zr
0.000 0.000 0.000 Sc
0.500 0.500 0.500 I
```

***

(3)
Density functional theory data (GGA-PBE) for an optimized crystal structure of YPaNi2.

Output
**Crystal system**: cubic
**Energy above the lowest structure with this stoichiometry**: 0.76 eV per formula unit
**Energy of formation**: -0.197 eV per atom
**Total magnetic moment**: 0.00 μB per atom
**Density of states at the Fermi level**: 24.90 states/eV per cell

```
YPaNi2
1.0
6.752 0.000 0.000
0.000 6.752 0.000
0.000 0.000 6.752
Y Pa Ni
4 4 8
Direct
0.000 0.000 0.000 Y
0.000 0.500 0.500 Y
0.500 0.000 0.500 Y
0.500 0.500 0.000 Y
0.000 0.000 0.500 Pa
0.000 0.500 0.000 Pa
0.500 0.000 0.000 Pa
0.500 0.500 0.500 Pa
0.250 0.250 0.250 Ni
0.250 0.250 0.750 Ni
0.250 0.750 0.250 Ni
0.250 0.750 0.750 Ni
0.750 0.250 0.250 Ni
0.750 0.250 0.750 Ni
0.750 0.750 0.250 Ni
0.750 0.750 0.750 Ni
```

***

(4)
Density functional theory data (GGA-PBE) for an optimized crystal structure of KCr2Pb.

Output
**Crystal system**: monoclinic
**Energy of formation**: 1.012 eV per atom
**Total magnetic moment**: 2.31 μB per atom
**Density of states at the Fermi level**: 3.81 states/eV per cell

```
KCr2Pb
1.0
6.764 0.000 0.000
0.000 10.248 0.000
-1.289 0.000 3.043
K Cr Pb
2 4 2
Direct
0.000 0.000 0.000 K
0.500 0.500 0.000 K
0.250 0.250 0.500 Cr
0.250 0.750 0.500 Cr
0.750 0.250 0.500 Cr
0.750 0.750 0.500 Cr
0.000 0.500 0.000 Pb
0.500 0.000 0.000 Pb
```

***

(5)
Density functional theory data (GGA-PBE) for an optimized crystal structure of Dy4IrPd.

Output
**Crystal system**: tetragonal
**Energy of formation**: -0.599 eV per atom
**Total magnetic moment**: 0.00 μB per atom
**Density of states at the Fermi level**: 6.03 states/eV per cell

```
Dy4IrPd
1.0
4.840 0.000 0.000
0.000 4.840 0.000
0.000 0.000 6.876
Dy Ir Pd
4 1 1
Direct
0.000 0.500 0.242 Dy
0.000 0.500 0.758 Dy
0.500 0.000 0.242 Dy
0.500 0.000 0.758 Dy
0.000 0.000 0.000 Ir
0.500 0.500 0.500 Pd
```

***

(6)
Density functional theory data (GGA-PBE) for an optimized crystal structure of ScAl2As.

Output
**Crystal system**: trigonal
**Energy of formation**: -0.072 eV per atom
**Total magnetic moment**: 0.00 μB per atom
**Density of states at the Fermi level**: 7.12 states/eV per cell

```
ScAl2As
1.0
3.398 0.000 0.000
-1.699 2.943 0.000
0.000 0.000 24.324
Sc Al As
3 6 3
Direct
0.000 0.000 0.000 Sc
0.333 0.667 0.667 Sc
0.667 0.333 0.333 Sc
0.000 0.000 0.239 Al
0.000 0.000 0.761 Al
0.333 0.667 0.428 Al
0.333 0.667 0.905 Al
0.667 0.333 0.095 Al
0.667 0.333 0.572 Al
0.000 0.000 0.500 As
0.333 0.667 0.167 As
0.667 0.333 0.833 As
```